# GGA-PBE Pu2TePd, relaxed
data_Pu2TePd
_space_group_name_H-M_alt 'F m -3 m'
_space_group_IT_number 225
_space_group_name_Hall '-F 4 2 3'
_cell_length_a 7.327
_cell_length_b 7.327
_cell_length_c 7.327
_cell_angle_alpha 90.00
_cell_angle_beta 90.00
_cell_angle_gamma 90.00
loop_
_atom_site_label
_atom_site_fract_x
_atom_site_fract_y
_atom_site_fract_z
_atom_site_occupancy
Pu1 0.250 0.250 0.250 1
Te1 0.000 0.000 0.000 1
Pd1 0.000 0.000 0.500 1
# Electronic total energy = -9.819 eV/atom
# M_tot = 3.000 μB/atom
# Formation energy from raw total energies = -0.57 eV/atom
# Volume = 24.581 A^3/atom
# N(E_F) = 15.7 states/eV/f.u.